The following is a GGA-PBE calculation of a geometry-optimized SrNd4Pb4 structure, from the Alexandria database.

It has space group P4_2/n (No. 86, origin choice 2), with a = 10.5251 Å, b = 10.5251 Å, c = 6.4273 Å, α = 90.00°, β = 90.00° and γ = 90.00°. The distinct sites, in fractional coordinates, are Sr at (0.2500, 0.2500, 0.2500), Nd at (0.1078, 0.6369, 0.1460) and Pb at (0.0540, 0.5968, 0.6615).

The volume comes out at 712 Å³ per cell. The total energy comes out at -4.304 eV/atom. As for the crystal system: tetragonal. The value obtained for the spin magnetization is 0.0 μB per formula unit. The calculation puts the energy of formation from the pure elements at -304 kJ/mol of formula units.

***

The following is a GGA-PBE calculation of a geometry-optimized SrNd2Pb9 structure, from the Alexandria database.

It has space group P4/mmm (No. 123), with a = 4.9724 Å, b = 4.9724 Å, c = 14.8400 Å, α = 90.00°, β = 90.00° and γ = 90.00°. The distinct sites, in fractional coordinates, are Sr at (0.0000, 0.0000, 0.0000), Nd at (0.0000, 0.0000, 0.3380), Pb at (0.0000, 0.5000, 0.1701), Pb at (0.0000, 0.5000, 0.5000), Pb at (0.5000, 0.5000, 0.0000) and Pb at (0.5000, 0.5000, 0.3344).

The volume comes out at 367 Å³ per cell. The total energy comes out at -4.085 eV/atom. As for the crystal system: tetragonal. The value obtained for the spin magnetization is 0.0 μB per formula unit. The calculation puts the energy of formation from the pure elements at -428 kJ/mol of formula units.

***

The following is a GGA-PBE calculation of a geometry-optimized SrNdPb2 structure, from the Alexandria database.

It has space group P4/mmm (No. 123), with a = 3.6846 Å, b = 3.6846 Å, c = 9.4532 Å, α = 90.00°, β = 90.00° and γ = 90.00°. The distinct sites, in fractional coordinates, are Sr at (0.0000, 0.0000, 0.0000), Nd at (0.0000, 0.0000, 0.5000) and Pb at (0.5000, 0.5000, 0.2583).

The volume comes out at 128 Å³ per cell. The total energy comes out at -3.981 eV/atom. As for the crystal system: tetragonal. The value obtained for the spin magnetization is 0.0 μB per formula unit. The calculation puts the energy of formation from the pure elements at -199 kJ/mol of formula units.

***

The following is a GGA-PBE calculation of a geometry-optimized SrNd2Pb structure, from the Alexandria database.

It has space group P4/mmm (No. 123), with a = 5.1193 Å, b = 5.1193 Å, c = 5.1132 Å, α = 90.00°, β = 90.00° and γ = 90.00°. The distinct sites, in fractional coordinates, are Sr at (0.0000, 0.0000, 0.0000), Nd at (0.0000, 0.5000, 0.5000) and Pb at (0.5000, 0.5000, 0.0000).

The volume comes out at 134 Å³ per cell. The total energy comes out at -3.962 eV/atom. As for the crystal system: tetragonal. The calculation puts the offset from the most stable computed form at 0.000 eV per atom. The value obtained for the spin magnetization is 0.0 μB per formula unit. The calculation puts the energy of formation from the pure elements at -89 kJ/mol of formula units.

***

The following is a GGA-PBE calculation of a geometry-optimized Sr5NdPb6 structure, from the Alexandria database.

It has space group C2/m (No. 12), with a = 17.9340 Å, b = 7.5923 Å, c = 6.0497 Å, α = 90.00°, β = 97.62° and γ = 90.00°. The distinct sites, in fractional coordinates, are Sr at (0.0000, 0.0000, 0.0000), Sr at (0.1661, 0.0000, 0.6813), Sr at (0.1778, 0.5000, 0.6954), Nd at (0.0000, 0.5000, 0.0000), Pb at (0.0000, 0.2733, 0.5000) and Pb at (0.1575, 0.2655, 0.1876).

The volume comes out at 816 Å³ per cell. The total energy comes out at -3.473 eV/atom. As for the crystal system: monoclinic. The value obtained for the spin magnetization is 0.0 μB per formula unit. The calculation puts the energy of formation from the pure elements at -603 kJ/mol of formula units.

***

The following is a GGA-PBE calculation of a geometry-optimized SrNdPb structure, from the Alexandria database.

It has space group F-43m (No. 216), with a = 7.7955 Å, b = 7.7955 Å, c = 7.7955 Å, α = 90.00°, β = 90.00° and γ = 90.00°. The distinct sites, in fractional coordinates, are Sr at (0.0000, 0.0000, 0.0000), Nd at (0.0000, 0.0000, 0.5000) and Pb at (0.2500, 0.2500, 0.7500).

The volume comes out at 474 Å³ per cell. The total energy comes out at -3.682 eV/atom. As for the crystal system: cubic. The value obtained for the spin magnetization is 0.0 μB per formula unit. The calculation puts the energy of formation from the pure elements at -86 kJ/mol of formula units.

***

The following is a GGA-PBE calculation of a geometry-optimized Sr2NdPb3 structure, from the Alexandria database.

It has space group Cmmm (No. 65), with a = 5.9776 Å, b = 17.7179 Å, c = 7.6692 Å, α = 90.00°, β = 90.00° and γ = 90.00°. The distinct sites, in fractional coordinates, are Sr at (0.0000, 0.0000, 0.0000), Sr at (0.0000, 0.0000, 0.5000), Sr at (0.0000, 0.3337, 0.0000), Nd at (0.0000, 0.3415, 0.5000), Pb at (0.0000, 0.1727, 0.2750) and Pb at (0.0000, 0.5000, 0.2507).

The volume comes out at 812 Å³ per cell. The total energy comes out at -3.689 eV/atom. As for the crystal system: orthorhombic. The value obtained for the spin magnetization is 0.0 μB per formula unit. The calculation puts the energy of formation from the pure elements at -278 kJ/mol of formula units.

***

The following is a GGA-PBE calculation of a geometry-optimized SrNdPb structure, from the Alexandria database.

It has space group C2/m (No. 12), with a = 7.0728 Å, b = 7.0707 Å, c = 8.9013 Å, α = 90.00°, β = 90.07° and γ = 90.00°. The distinct sites, in fractional coordinates, are Sr at (0.2494, 0.0000, 0.1433), Nd at (0.0000, 0.2499, 0.5000) and Pb at (0.2493, 0.5000, 0.2469).

The volume comes out at 445 Å³ per cell. The total energy comes out at -3.839 eV/atom. As for the crystal system: monoclinic. The value obtained for the spin magnetization is 1.1 μB per formula unit. The calculation puts the energy of formation from the pure elements at -131 kJ/mol of formula units.